The following is a PBE calculation of ZrTa2Cl after structural relaxation, from Alexandria.

Values from the calculation:
energy relative to the lowest polymorph listed for this composition: 0.557 eV/atom
volume: 154.21 Å³/cell
total energy: -8.17 eV/atom
spin magnetization: 0.00 Bohr magnetons per cell
formation energy (no corrections): 0.3572 eV per atom

abc: 3.094 5.425 9.188
angles: 90.00 90.00 90.00
Space group Imm2 (No. 44)
Inequivalent atoms, fractional coordinates:
Zr 0.000 0.000 0.000 [2 per cell]
Ta 0.000 0.000 0.454 [2 per cell]
Ta 0.000 0.500 0.215 [2 per cell]
Cl 0.000 0.500 0.738 [2 per cell]